Record 1
Density functional theory data (PBE) for a relaxed CuAs2Rh2 crystal.

Cell and atoms, written as CIF:
```
data_CuAs2Rh2
_chemical_formula_sum 'Cu2 As4 Rh4'
_cell_length_a 7.012
_cell_length_b 7.012
_cell_length_c 3.163
_cell_angle_alpha 90.00
_cell_angle_beta 90.00
_cell_angle_gamma 90.00
_symmetry_space_group_name_H-M 'P 4/m b m'
_symmetry_Int_Tables_number 127
_symmetry_space_group_name_Hall '-P 4 2ab'
loop_
_atom_site_label
_atom_site_fract_x
_atom_site_fract_y
_atom_site_fract_z
Cu1 0.000 0.000 0.000
As1 0.155 0.345 0.500
Rh1 0.144 0.644 0.000
```

Computed properties:
Its offset from the most stable computed form is 0 meV/atom. The calculation puts the total magnetization at 0.0000 μB/atom. Its formation energy from the elements is -0.10 eV/atom.

=====

Record 2
Density functional theory data (PBE) for a relaxed CuAsRuRh crystal.

Cell and atoms, written as CIF:
```
data_CuAsRuRh
_chemical_formula_sum 'Cu4 As4 Ru4 Rh4'
_cell_length_a 6.016
_cell_length_b 6.016
_cell_length_c 6.016
_cell_angle_alpha 90.00
_cell_angle_beta 90.00
_cell_angle_gamma 90.00
_symmetry_space_group_name_H-M 'F -4 3 m'
_symmetry_Int_Tables_number 216
_symmetry_space_group_name_Hall 'F -4 2 3'
loop_
_atom_site_label
_atom_site_fract_x
_atom_site_fract_y
_atom_site_fract_z
Cu1 0.000 0.000 0.000
As1 0.000 0.000 0.500
Ru1 0.250 0.250 0.750
Rh1 0.250 0.250 0.250
```

Computed properties:
The calculation puts the total magnetization at 0.0000 μB/atom. Its formation energy from the elements is -0.11 eV/atom.

=====

Record 3
Density functional theory data (PBE) for a relaxed Sr2CuAs4Rh3 crystal.

Cell and atoms, written as CIF:
```
data_Sr2CuAs4Rh3
_chemical_formula_sum 'Sr2 Cu1 As4 Rh3'
_cell_length_a 4.385
_cell_length_b 4.385
_cell_length_c 10.066
_cell_angle_alpha 90.00
_cell_angle_beta 90.00
_cell_angle_gamma 90.00
_symmetry_space_group_name_H-M 'P -4 m 2'
_symmetry_Int_Tables_number 115
_symmetry_space_group_name_Hall 'P -4 -2'
loop_
_atom_site_label
_atom_site_fract_x
_atom_site_fract_y
_atom_site_fract_z
Sr1 0.000 0.500 0.249
Cu1 0.000 0.000 0.500
As1 0.000 0.000 0.000
As2 0.000 0.500 0.630
As3 0.500 0.500 0.000
Rh1 0.000 0.500 0.880
Rh2 0.500 0.500 0.500
```

Computed properties:
The calculation puts the total magnetization at 0.0000 μB/atom. Its formation energy from the elements is -0.69 eV/atom.

=====

Record 4
Density functional theory data (PBE) for a relaxed SrCuAs2Rh crystal.

Cell and atoms, written as CIF:
```
data_SrCuAs2Rh
_chemical_formula_sum 'Sr2 Cu2 As4 Rh2'
_cell_length_a 4.265
_cell_length_b 4.265
_cell_length_c 10.751
_cell_angle_alpha 90.00
_cell_angle_beta 90.00
_cell_angle_gamma 90.00
_symmetry_space_group_name_H-M 'I -4 m 2'
_symmetry_Int_Tables_number 119
_symmetry_space_group_name_Hall 'I -4 -2'
loop_
_atom_site_label
_atom_site_fract_x
_atom_site_fract_y
_atom_site_fract_z
Sr1 0.000 0.000 0.000
Cu1 0.000 0.500 0.250
As1 0.000 0.000 0.369
Rh1 0.000 0.500 0.750
```

Computed properties:
The calculation puts the total magnetization at 0.0000 μB/atom. Its formation energy from the elements is -0.62 eV/atom.

=====

Record 5
Density functional theory data (PBE) for a relaxed Tb2CuAs4Rh3 crystal.

Cell and atoms, written as CIF:
```
data_Tb2CuAs4Rh3
_chemical_formula_sum 'Tb2 Cu1 As4 Rh3'
_cell_length_a 4.225
_cell_length_b 4.225
_cell_length_c 10.132
_cell_angle_alpha 90.00
_cell_angle_beta 90.00
_cell_angle_gamma 90.00
_symmetry_space_group_name_H-M 'P -4 m 2'
_symmetry_Int_Tables_number 115
_symmetry_space_group_name_Hall 'P -4 -2'
loop_
_atom_site_label
_atom_site_fract_x
_atom_site_fract_y
_atom_site_fract_z
Tb1 0.000 0.500 0.247
Cu1 0.500 0.500 0.000
As1 0.000 0.000 0.500
As2 0.000 0.500 0.864
As3 0.500 0.500 0.500
Rh1 0.000 0.000 0.000
Rh2 0.000 0.500 0.625
```

Computed properties:
The calculation puts the total magnetization at 0.0000 μB/atom. Its formation energy from the elements is -0.79 eV/atom.

=====

Record 6
Density functional theory data (PBE) for a relaxed Th2CuAs4Rh3 crystal.

Cell and atoms, written as CIF:
```
data_Th2CuAs4Rh3
_chemical_formula_sum 'Th2 Cu1 As4 Rh3'
_cell_length_a 4.363
_cell_length_b 4.363
_cell_length_c 9.763
_cell_angle_alpha 90.00
_cell_angle_beta 90.00
_cell_angle_gamma 90.00
_symmetry_space_group_name_H-M 'P -4 m 2'
_symmetry_Int_Tables_number 115
_symmetry_space_group_name_Hall 'P -4 -2'
loop_
_atom_site_label
_atom_site_fract_x
_atom_site_fract_y
_atom_site_fract_z
Th1 0.000 0.500 0.249
Cu1 0.000 0.000 0.500
As1 0.000 0.000 0.000
As2 0.000 0.500 0.631
As3 0.500 0.500 0.000
Rh1 0.000 0.500 0.881
Rh2 0.500 0.500 0.500
```

Computed properties:
The calculation puts the total magnetization at 0.0000 μB/atom. Its formation energy from the elements is -0.85 eV/atom.

=====

Record 7
Density functional theory data (PBE) for a relaxed ThCuAs2Rh5 crystal.

Cell and atoms, written as CIF:
```
data_ThCuAs2Rh5
_chemical_formula_sum 'Th1 Cu1 As2 Rh5'
_cell_length_a 4.173
_cell_length_b 4.173
_cell_length_c 8.971
_cell_angle_alpha 90.00
_cell_angle_beta 90.00
_cell_angle_gamma 90.00
_symmetry_space_group_name_H-M 'P 4/m m m'
_symmetry_Int_Tables_number 123
_symmetry_space_group_name_Hall '-P 4 2'
loop_
_atom_site_label
_atom_site_fract_x
_atom_site_fract_y
_atom_site_fract_z
Th1 0.000 0.000 0.000
Cu1 0.000 0.000 0.500
As1 0.500 0.500 0.365
Rh1 0.000 0.500 0.239
Rh2 0.500 0.500 0.000
```

Computed properties:
The calculation puts the total magnetization at 0.0000 μB/atom. Its formation energy from the elements is -0.43 eV/atom.

=====

Record 8
Density functional theory data (PBE) for a relaxed Th2CuAs3Rh4 crystal.

Cell and atoms, written as CIF:
```
data_Th2CuAs3Rh4
_chemical_formula_sum 'Th2 Cu1 As3 Rh4'
_cell_length_a 4.196
_cell_length_b 4.196
_cell_length_c 10.317
_cell_angle_alpha 90.00
_cell_angle_beta 90.00
_cell_angle_gamma 90.00
_symmetry_space_group_name_H-M 'P -4 m 2'
_symmetry_Int_Tables_number 115
_symmetry_space_group_name_Hall 'P -4 -2'
loop_
_atom_site_label
_atom_site_fract_x
_atom_site_fract_y
_atom_site_fract_z
Th1 0.000 0.500 0.246
Cu1 0.500 0.500 0.000
As1 0.000 0.000 0.000
As2 0.000 0.500 0.636
Rh1 0.000 0.000 0.500
Rh2 0.000 0.500 0.869
Rh3 0.500 0.500 0.500
```

Computed properties:
The calculation puts the total magnetization at 0.0000 μB/atom. Its formation energy from the elements is -0.86 eV/atom.